Hf2TlTe2 | PBE | optimized geometry

## Properties
Polymorph energy (0 for the lowest one): 0.000 eV per formula unit
Space group: P4/mbm, No. 127
Electronic total energy: -6.05 eV per atom

a = 8.089 Å, b = 8.089 Å, c = 3.701 Å
α = 90.00°, β = 90.00°, γ = 90.00°
Sites, in units of the cell vectors:
Tl: 0.000 0.000 0.000
Tl: 0.500 0.500 0.000
Te: 0.146 0.646 0.500
Te: 0.646 0.854 0.500
Te: 0.854 0.354 0.500
Te: 0.354 0.146 0.500
Hf: 0.357 0.857 0.000
Hf: 0.857 0.643 0.000
Hf: 0.643 0.143 0.000
Hf: 0.143 0.357 0.000